# 1
This record from Alexandria describes an optimized crystal structure of YTm2Ti. The functional is PBE.

Cell: 3.372 3.372 9.487 Å, 90.00 90.00 90.00°
Space group P4/mmm (No. 123)
One atom of each set of equivalent atoms:
1 Y 0.000 0.000 0.000 [1 per cell]
2 Tm 0.500 0.500 0.283 [2 per cell]
3 Ti 0.000 0.000 0.500 [1 per cell]

# 2
This record from Alexandria describes an optimized crystal structure of Y2TmTi. The functional is PBE.

Cell: 3.644 3.644 8.520 Å, 90.00 90.00 90.00°
Space group P4/mmm (No. 123)
One atom of each set of equivalent atoms:
1 Y 0.000 0.000 0.211 [2 per cell]
2 Tm 0.500 0.500 0.500 [1 per cell]
3 Ti 0.500 0.500 0.000 [1 per cell]

# 3
This record from Alexandria describes an optimized crystal structure of Y2TmTi. The functional is PBE.

Cell: 3.3978 3.3978 33.0185 Å, 90.00 90.00 120.00°
Space group R-3m (No. 166, hexagonal axes)
One atom of each set of equivalent atoms:
1 Y 0.0000 0.0000 0.2424 [6 per cell]
2 Tm 0.0000 0.0000 0.0000 [3 per cell]
3 Ti 0.0000 0.0000 0.5000 [3 per cell]

# 4
This record from Alexandria describes an optimized crystal structure of YTmTi. The functional is PBE.

Cell: 3.551 3.551 12.667 Å, 90.00 90.00 90.00°
Space group P4/nmm (No. 129, origin choice 2)
One atom of each set of equivalent atoms:
1 Y 0.250 0.250 0.202 [2 per cell]
2 Tm 0.250 0.250 0.592 [2 per cell]
3 Ti 0.250 0.250 0.957 [2 per cell]

# 5
This record from Alexandria describes an optimized crystal structure of Y2TmTi. The functional is PBE.

Cell: 3.4221 3.4221 32.6158 Å, 90.00 90.00 120.00°
Space group R3m (No. 160, hexagonal axes)
One atom of each set of equivalent atoms:
1 Y 0.0000 0.0000 0.0000 [3 per cell]
2 Y 0.0000 0.0000 0.1809 [3 per cell]
3 Tm 0.0000 0.0000 0.7570 [3 per cell]
4 Ti 0.0000 0.0000 0.5908 [3 per cell]

# 6
This record from Alexandria describes an optimized crystal structure of YTmTi4. The functional is PBE.

Cell: 8.184 8.184 8.184 Å, 90.00 90.00 90.00°
Space group F-43m (No. 216)
One atom of each set of equivalent atoms:
1 Y 0.000 0.000 0.000 [4 per cell]
2 Tm 0.250 0.250 0.750 [4 per cell]
3 Ti 0.125 0.125 0.375 [16 per cell]

# 7
This record from Alexandria describes an optimized crystal structure of TmTiZn2. The functional is PBE.

Cell: 3.330 3.330 6.654 Å, 90.00 90.00 90.00°
Space group P4/mmm (No. 123)
One atom of each set of equivalent atoms:
1 Tm 0.000 0.000 0.000 [1 per cell]
2 Ti 0.000 0.000 0.500 [1 per cell]
3 Zn 0.500 0.500 0.286 [2 per cell]

# 8
This record from Alexandria describes an optimized crystal structure of Tm3TiZn4. The functional is PBE.

Cell: 3.419 3.419 13.766 Å, 90.00 90.00 90.00°
Space group P4/mmm (No. 123)
One atom of each set of equivalent atoms:
1 Tm 0.000 0.000 0.000 [1 per cell]
2 Tm 0.000 0.000 0.264 [2 per cell]
3 Ti 0.000 0.000 0.500 [1 per cell]
4 Zn 0.500 0.500 0.132 [2 per cell]
5 Zn 0.500 0.500 0.399 [2 per cell]

# 9
This record from Alexandria describes an optimized crystal structure of TmTi2Zn6. The functional is PBE.

Cell: 7.5666 7.5666 9.0929 Å, 90.00 90.00 120.00°
Space group R-3m (No. 166, hexagonal axes)
One atom of each set of equivalent atoms:
1 Tm 0.0000 0.0000 0.0000 [3 per cell]
2 Ti 0.0000 0.0000 0.3489 [6 per cell]
3 Zn 0.0000 0.3317 0.5000 [18 per cell]

# 10
This record from Alexandria describes an optimized crystal structure of TmTiZn2. The functional is PBE.

Cell: 6.684 6.684 6.684 Å, 90.00 90.00 90.00°
Space group Fm-3m (No. 225)
One atom of each set of equivalent atoms:
1 Tm 0.000 0.000 0.000 [4 per cell]
2 Ti 0.000 0.000 0.500 [4 per cell]
3 Zn 0.250 0.250 0.250 [8 per cell]

# 11
This record from Alexandria describes an optimized crystal structure of TmTiZn17. The functional is PBE.

Cell: 8.8410 8.8410 13.0441 Å, 90.00 90.00 120.00°
Space group R3m (No. 160, hexagonal axes)
One atom of each set of equivalent atoms:
1 Tm 0.0000 0.0000 0.0000 [3 per cell]
2 Ti 0.0000 0.0000 0.3402 [3 per cell]
3 Zn 0.0000 0.0000 0.5591 [3 per cell]
4 Zn 0.0000 0.0000 0.7597 [3 per cell]
5 Zn 0.0333 0.3620 0.3325 [18 per cell]
6 Zn 0.1707 0.3415 0.1461 [9 per cell]
7 Zn 0.1748 0.3495 0.5028 [9 per cell]
8 Zn 0.1840 0.3679 0.8477 [9 per cell]

# 12
This record from Alexandria describes an optimized crystal structure of Tm2ZrTi. The functional is PBE.

Cell: 3.2612 3.2612 31.8094 Å, 90.00 90.00 120.00°
Space group R-3m (No. 166, hexagonal axes)
One atom of each set of equivalent atoms:
1 Tm 0.0000 0.0000 0.2463 [6 per cell]
2 Zr 0.0000 0.0000 0.0000 [3 per cell]
3 Ti 0.0000 0.0000 0.5000 [3 per cell]

# 13
This record from Alexandria describes an optimized crystal structure of Tm2ZrTi. The functional is PBE.

Cell: 3.2914 3.2914 31.4006 Å, 90.00 90.00 120.00°
Space group R3m (No. 160, hexagonal axes)
One atom of each set of equivalent atoms:
1 Tm 0.0000 0.0000 0.0000 [3 per cell]
2 Tm 0.0000 0.0000 0.1736 [3 per cell]
3 Zr 0.0000 0.0000 0.7533 [3 per cell]
4 Ti 0.0000 0.0000 0.5872 [3 per cell]

# 14
This record from Alexandria describes an optimized crystal structure of TmZrTi4. The functional is PBE.

Cell: 7.965 7.965 7.965 Å, 90.00 90.00 90.00°
Space group F-43m (No. 216)
One atom of each set of equivalent atoms:
1 Tm 0.000 0.000 0.000 [4 per cell]
2 Zr 0.250 0.250 0.750 [4 per cell]
3 Ti 0.123 0.123 0.377 [16 per cell]

| no. | DOS at the Fermi energy (states/eV/f.u.) | energy relative to the elements (eV per formula unit) | total energy (eV/atom) |
| --- | --- | --- | --- |
| 1 | 6.70 | 0.61 | -5.672 |
| 2 | 6.62 | 0.77 | -6.130 |
| 3 | 6.23 | 0.86 | -6.108 |
| 4 | 5.25 | 0.31 | -6.173 |
| 5 | 6.94 | 0.83 | -6.117 |
| 6 | 7.61 | 1.37 | -6.857 |
| 7 | 3.70 | -0.87 | -3.947 |
| 8 | 7.44 | -2.17 | -3.572 |
| 9 | 6.83 | -1.83 | -3.304 |
| 10 | 3.19 | -0.70 | -3.905 |
| 11 | 4.62 | -2.19 | -1.906 |
| 12 | 5.84 | 0.78 | -6.151 |
| 13 | 6.17 | 0.74 | -6.161 |
| 14 | 11.86 | 1.24 | -7.227 |